[1]
YCdAuO4 | GGA-PBE | relaxed

Cell: 6.9443 6.9443 6.9443 Å, 124.83 121.19 84.90°
Closest atoms and distances in Å follow each position.
Fractional positions:
Y (0.0000, 0.0000, 0.0000)  6 O 2.24-2.41
Y (0.5000, 0.0000, 0.5000)  6 O 2.24-2.41
Cd (0.3917, 0.6417, 0.7500)  2 O 2.10
Cd (0.6083, 0.3583, 0.2500)  2 O 2.10
Au (0.0000, 0.0000, 0.5000)  4 O 2.08
Au (0.0000, 0.5000, 0.0000)  4 O 2.08
O (0.1727, 0.2315, 0.9412)  2 Au 2.08
O (0.2097, 0.7685, 0.4412)  2 Au 2.08
O (0.2922, 0.2577, 0.4655)  1 Cd 2.10, 2 Y 2.24
O (0.2922, 0.8267, 0.0345)  1 Cd 2.10, 2 Y 2.24
O (0.7078, 0.1733, 0.9655)  1 Cd 2.10, 2 Y 2.24
O (0.7078, 0.7423, 0.5345)  1 Cd 2.10, 2 Y 2.24
O (0.7903, 0.2315, 0.5588)  2 Au 2.08
O (0.8273, 0.7685, 0.0588)  2 Au 2.08

Output
N(E_F), states/eV/f.u.: 0.28
Total moment, μB/atom: 0.000
Space group: Imma, No. 74
Formation energy (no corrections), meV/atom: -1466.3
E, eV/atom: -5.8219

=====

[2]
Nd4H2Pb3 | GGA-PBE | relaxed

Cell: 8.6061 8.6061 6.8271 Å, 101.17 101.17 70.51°
Closest atoms and distances in Å follow each position.
Fractional positions:
Nd (0.1139, 0.6661, 0.9661)  2 H 2.36-2.45
Nd (0.2317, 0.3808, 0.4066)  2 H 2.35-2.42
Nd (0.3339, 0.8861, 0.5339)  2 H 2.36-2.45
Nd (0.3808, 0.2317, 0.9066)  2 H 2.35-2.42
Nd (0.6192, 0.7683, 0.0934)  2 H 2.35-2.42
Nd (0.6661, 0.1139, 0.4661)  2 H 2.36-2.45
Nd (0.7683, 0.6192, 0.5934)  2 H 2.35-2.42
Nd (0.8861, 0.3339, 0.0339)  2 H 2.36-2.45
H (0.1409, 0.4091, 0.0642)  4 Nd 2.35-2.45, 1 H 2.50
H (0.4091, 0.1409, 0.5642)  4 Nd 2.35-2.45, 1 H 2.50
H (0.5909, 0.8591, 0.4358)  4 Nd 2.35-2.45, 1 H 2.50
H (0.8591, 0.5909, 0.9358)  4 Nd 2.35-2.45, 1 H 2.50
Pb (0.0045, 0.2252, 0.5705)  5 Nd 3.17-3.37, 1 H 3.32
Pb (0.2252, 0.0045, 0.0705)  5 Nd 3.17-3.37, 1 H 3.32
Pb (0.4885, 0.5115, 0.7500)  8 Nd 3.21-3.59, 2 Pb 3.42, 2 H 3.44
Pb (0.5115, 0.4885, 0.2500)  8 Nd 3.21-3.59, 2 Pb 3.42, 2 H 3.44
Pb (0.7748, 0.9955, 0.9295)  5 Nd 3.17-3.37, 1 H 3.32
Pb (0.9955, 0.7748, 0.4295)  5 Nd 3.17-3.37, 1 H 3.32

Output
N(E_F), states/eV/f.u.: 5.57
Total moment, μB/atom: 0.000
Space group: C2/c, No. 15
E, eV/atom: -4.6260

=====

[3]
SrY3Hf | GGA-PBE | relaxed

Cell: 5.7311 5.7311 5.7311 Å, 90.00 90.00 90.00°
Closest atoms and distances in Å follow each position.
Fractional positions:
Sr (0.0000, 0.0000, 0.0000)  12 Y 4.05
Y (0.0000, 0.5000, 0.5000)  2 Hf 2.87
Y (0.5000, 0.0000, 0.5000)  2 Hf 2.87
Y (0.5000, 0.5000, 0.0000)  2 Hf 2.87
Hf (0.5000, 0.5000, 0.5000)  6 Y 2.87

Output
N(E_F), states/eV/f.u.: 6.16
Total moment, μB/atom: 0.000
Space group: Pm-3m, No. 221
Excess energy over the best structure of this formula in the dataset, meV per atom: 0
E, eV/atom: -5.7366
Calculated formation energy, eV per atom: 0.4689

=====

[4]
K3NaAs | GGA-PBE | relaxed

Cell: 6.4934 6.4934 6.4934 Å, 90.00 90.00 90.00°
Closest atoms and distances in Å follow each position.
Fractional positions:
K (0.0000, 0.0000, 0.5000)  2 As 3.25
K (0.0000, 0.5000, 0.0000)  2 As 3.25
K (0.5000, 0.0000, 0.0000)  2 As 3.25
Na (0.5000, 0.5000, 0.5000)  12 K 4.59
As (0.0000, 0.0000, 0.0000)  6 K 3.25

Output
N(E_F), states/eV/f.u.: 2.92
Total moment, μB/atom: 0.198
Space group: Pm-3m, No. 221
Excess energy over the best structure of this formula in the dataset, meV per atom: 0
E, eV/atom: -1.9495
Calculated formation energy, eV per atom: -0.0973

=====

[5]
Nd3Ho6ErTh2 | GGA-PBE | relaxed

Cell: 6.1912 6.1912 11.7793 Å, 95.03 95.03 119.98°
Closest atoms and distances in Å follow each position.
Fractional positions:
Nd (0.0000, 0.0000, 0.0000)  6 Nd 3.57-3.58, 6 Ho 3.59-3.62
Nd (0.3337, 0.6663, 0.0000)  6 Nd 3.57-3.58, 6 Ho 3.60-3.62
Nd (0.6663, 0.3337, 0.0000)  6 Nd 3.57-3.58, 6 Ho 3.60-3.62
Ho (0.0816, 0.4185, 0.2553)  2 Th 3.50, 1 Er 3.52, 6 Ho 3.55-3.62, 3 Nd 3.60-3.62
Ho (0.2444, 0.2444, 0.7450)  2 Th 3.50, 1 Er 3.53, 6 Ho 3.55-3.62, 3 Nd 3.59-3.61
Ho (0.4185, 0.0816, 0.2553)  2 Th 3.50, 1 Er 3.52, 6 Ho 3.55-3.62, 3 Nd 3.60-3.62
Ho (0.5815, 0.9184, 0.7447)  2 Th 3.50, 1 Er 3.52, 6 Ho 3.55-3.62, 3 Nd 3.60-3.62
Ho (0.7556, 0.7556, 0.2550)  2 Th 3.50, 1 Er 3.53, 6 Ho 3.55-3.62, 3 Nd 3.59-3.61
Ho (0.9184, 0.5815, 0.7447)  2 Th 3.50, 1 Er 3.52, 6 Ho 3.55-3.62, 3 Nd 3.60-3.62
Er (0.5000, 0.5000, 0.5000)  6 Ho 3.52-3.53, 6 Th 3.57-3.58
Th (0.1666, 0.8334, 0.5000)  6 Ho 3.50, 3 Th 3.57-3.58, 3 Er 3.57-3.58
Th (0.8334, 0.1666, 0.5000)  6 Ho 3.50, 3 Th 3.57-3.58, 3 Er 3.57-3.58

Output
N(E_F), states/eV/f.u.: 15.65
Total moment, μB/atom: 0.000
Space group: C2/m, No. 12
E, eV/atom: -5.0800
Calculated formation energy, eV per atom: 0.0177

=====

[6]
Pr2NiGe4Pd3 | GGA-PBE | relaxed

Cell: 4.3271 4.3271 10.1872 Å, 90.00 90.00 90.00°
Closest atoms and distances in Å follow each position.
Fractional positions:
Pr (0.0000, 0.5000, 0.2461)  6 Pd 3.30-3.31, 8 Ge 3.31-3.37, 2 Ni 3.31
Pr (0.5000, 0.0000, 0.7539)  6 Pd 3.30-3.31, 8 Ge 3.31-3.37, 2 Ni 3.31
Ni (0.5000, 0.5000, 0.0000)  4 Ge 2.50
Ge (0.0000, 0.0000, 0.5000)  4 Pd 2.55
Ge (0.0000, 0.5000, 0.8778)  2 Ni 2.50, 3 Pd 2.50
Ge (0.5000, 0.0000, 0.1222)  2 Ni 2.50, 3 Pd 2.50
Ge (0.5000, 0.5000, 0.5000)  4 Pd 2.55
Pd (0.0000, 0.0000, 0.0000)  4 Ge 2.50
Pd (0.0000, 0.5000, 0.6326)  5 Ge 2.50-2.55
Pd (0.5000, 0.0000, 0.3674)  5 Ge 2.50-2.55

Output
N(E_F), states/eV/f.u.: 5.79
Total moment, μB/atom: 0.000
Space group: P-4m2, No. 115
E, eV/atom: -5.7026
Calculated formation energy, eV per atom: -0.7637